No. 1
YTcNi2 | PBE | relaxed

Cell: 6.414 4.659 2.891 Å, 89.97 63.26 123.28°
Atoms (fractional coordinates):
Ni (0.000, 0.000, 0.000)
Ni (0.500, 0.000, 0.500)
Y (0.500, 0.500, 0.000)
Tc (0.000, 0.500, 0.500)

Summary:
- energy of formation (eV per atom) = 0.10

***

No. 2
YTc2Ni | PBE | relaxed

Cell: 2.794 2.794 8.284 Å, 90.00 90.00 90.00°
Atoms (fractional coordinates):
Y (0.500, 0.500, 0.250)
Ni (0.500, 0.500, 0.750)
Tc (0.000, 0.000, 0.955)
Tc (0.000, 0.000, 0.545)

Summary:
- energy of formation (eV per atom) = 0.33

***

No. 3
YZrTcNi2 | PBE | relaxed

Cell: 4.666 4.777 4.666 Å, 90.00 90.00 90.00°
Atoms (fractional coordinates):
Ni (0.000, 0.000, 0.500)
Zr (0.000, 0.000, 0.000)
Ni (0.500, 0.000, 0.000)
Tc (0.000, 0.500, 0.000)
Y (0.500, 0.500, 0.500)

Summary:
- energy of formation (eV per atom) = 0.63

***

No. 4
YZrTcNi | PBE | relaxed

Cell: 4.712 4.712 4.712 Å, 60.00 60.00 60.00°
Atoms (fractional coordinates):
Y (0.250, 0.250, 0.250)
Zr (0.750, 0.750, 0.750)
Tc (0.500, 0.500, 0.500)
Ni (0.000, 0.000, 0.000)

Summary:
- energy of formation (eV per atom) = -0.23

***

No. 5
ZnTc2Ni | PBE | relaxed

Cell: 4.714 4.714 4.569 Å, 79.94 79.94 33.07°
Atoms (fractional coordinates):
Tc (0.507, 0.507, 0.493)
Ni (0.250, 0.250, 0.250)
Zn (0.750, 0.750, 0.750)
Tc (0.993, 0.993, 0.007)

Summary:
- energy of formation (eV per atom) = 0.09

***

No. 6
ZnTcNi6 | PBE | relaxed

Cell: 6.223 6.223 10.160 Å, 90.00 90.00 109.41°
Atoms (fractional coordinates):
Ni (0.122, 0.374, 0.126)
Tc (0.000, 0.000, 0.993)
Ni (0.248, 0.752, 0.003)
Ni (0.626, 0.878, 0.126)
Ni (0.500, 0.500, 0.750)
Ni (0.500, 0.500, 0.250)
Ni (0.876, 0.628, 0.876)
Zn (0.500, 0.500, 0.998)
Ni (0.374, 0.122, 0.374)
Ni (0.374, 0.122, 0.126)
Tc (0.249, 0.751, 0.250)
Tc (0.000, 0.000, 0.507)
Ni (0.372, 0.124, 0.876)
Zn (0.500, 0.500, 0.502)
Ni (0.628, 0.876, 0.624)
Zn (0.250, 0.750, 0.750)
Ni (0.752, 0.248, 0.003)
Ni (0.878, 0.626, 0.126)
Ni (0.626, 0.878, 0.374)
Ni (0.124, 0.372, 0.624)
Ni (0.878, 0.626, 0.374)
Ni (0.000, 0.000, 0.250)
Ni (0.124, 0.372, 0.876)
Tc (0.751, 0.249, 0.250)
Ni (0.876, 0.628, 0.624)
Ni (0.752, 0.248, 0.497)
Ni (0.248, 0.752, 0.497)
Ni (0.000, 0.000, 0.750)
Zn (0.750, 0.250, 0.750)
Ni (0.372, 0.124, 0.624)
Ni (0.122, 0.374, 0.374)
Ni (0.628, 0.876, 0.876)

Summary:
- energy of formation (eV per atom) = -0.05

***

No. 7
ZnTc2Ni | PBE | relaxed

Cell: 6.938 6.938 5.488 Å, 50.79 50.79 90.00°
Atoms (fractional coordinates):
Tc (0.875, 0.846, 0.750)
Ni (0.500, 0.500, 0.000)
Tc (0.596, 0.125, 0.250)
Tc (0.375, 0.404, 0.750)
Ni (0.250, 0.750, 0.500)
Zn (0.000, 0.000, 0.000)
Tc (0.154, 0.625, 0.250)
Zn (0.750, 0.250, 0.500)

Summary:
- energy of formation (eV per atom) = 0.62

***

No. 8
ZnTc2Ni | PBE | relaxed

Cell: 2.706 3.788 5.312 Å, 90.00 90.00 90.00°
Atoms (fractional coordinates):
Ni (0.500, 0.500, 0.734)
Tc (0.000, 0.000, 0.010)
Zn (0.000, 0.000, 0.517)
Tc (0.500, 0.500, 0.239)

Summary:
- energy of formation (eV per atom) = 0.05

***

No. 9
ZnTc2Ni | PBE | relaxed

Cell: 4.262 4.262 4.262 Å, 60.00 60.00 60.00°
Atoms (fractional coordinates):
Tc (0.250, 0.250, 0.250)
Tc (0.000, 0.000, 0.000)
Zn (0.750, 0.750, 0.750)
Ni (0.500, 0.500, 0.500)

Summary:
- energy of formation (eV per atom) = 0.13

***

No. 10
ZnTcNi4 | PBE | relaxed

Cell: 5.094 6.807 5.837 Å, 127.34 102.99 100.49°
Atoms (fractional coordinates):
Ni (0.346, 0.967, 0.003)
Ni (0.177, 0.294, 0.993)
Ni (0.000, 0.630, 0.001)
Ni (0.578, 0.453, 0.503)
Ni (0.073, 0.456, 0.507)
Zn (0.391, 0.780, 0.502)
Tc (0.501, 0.630, 0.002)
Zn (0.859, 0.970, 0.998)
Ni (0.250, 0.120, 0.499)
Tc (0.749, 0.120, 0.498)
Ni (0.672, 0.297, 0.997)
Ni (0.904, 0.783, 0.497)

Summary:
- energy of formation (eV per atom) = -0.03

***

No. 11
ZnTc2Ni | PBE | relaxed

Cell: 2.761 2.761 7.102 Å, 90.00 90.00 90.00°
Atoms (fractional coordinates):
Tc (0.500, 0.500, 0.245)
Tc (0.000, 0.000, 0.994)
Zn (0.000, 0.000, 0.517)
Ni (0.500, 0.500, 0.744)

Summary:
- energy of formation (eV per atom) = 0.01

***

No. 12
ZnTc2Ni | PBE | relaxed

Cell: 4.828 4.828 4.828 Å, 135.81 135.85 64.24°
Atoms (fractional coordinates):
Zn (0.750, 0.250, 0.500)
Tc (0.000, 0.000, 0.000)
Tc (0.500, 0.500, 0.000)
Ni (0.250, 0.750, 0.500)

Summary:
- energy of formation (eV per atom) = 0.07

***

No. 13
ZnTc2Ni | PBE | relaxed

Cell: 4.588 4.588 4.726 Å, 82.30 82.30 33.54°
Atoms (fractional coordinates):
Tc (0.990, 0.990, 0.982)
Tc (0.751, 0.751, 0.770)
Zn (0.506, 0.506, 0.474)
Ni (0.252, 0.252, 0.274)

Summary:
- energy of formation (eV per atom) = 0.07

***

No. 14
ZnTc2Ni | PBE | relaxed

Cell: 3.609 3.606 4.157 Å, 90.00 90.00 90.00°
Atoms (fractional coordinates):
Zn (0.500, 0.000, 0.500)
Tc (0.500, 0.500, 0.000)
Tc (0.000, 0.000, 0.000)
Ni (0.000, 0.500, 0.500)

Summary:
- energy of formation (eV per atom) = 0.10

***

No. 15
ZnTcNi14 | PBE | relaxed

Cell: 5.035 5.035 7.077 Å, 90.00 90.00 90.00°
Atoms (fractional coordinates):
Ni (0.126, 0.624, 0.245)
Ni (0.126, 0.126, 0.755)
Ni (0.375, 0.875, 0.000)
Ni (0.126, 0.624, 0.755)
Ni (0.875, 0.875, 0.000)
Ni (0.875, 0.375, 0.000)
Ni (0.375, 0.375, 0.000)
Ni (0.624, 0.126, 0.245)
Zn (0.875, 0.875, 0.500)
Ni (0.624, 0.624, 0.245)
Ni (0.375, 0.875, 0.500)
Ni (0.624, 0.126, 0.755)
Tc (0.375, 0.375, 0.500)
Ni (0.624, 0.624, 0.755)
Ni (0.875, 0.375, 0.500)
Ni (0.126, 0.126, 0.245)

Summary:
- energy of formation (eV per atom) = -0.02

***

No. 16
Zn3TcNi | PBE | relaxed

Cell: 4.396 4.396 4.396 Å, 90.00 90.00 90.00°
Atoms (fractional coordinates):
Tc (0.500, 0.500, 0.500)
Ni (0.000, 0.000, 0.000)
Zn (0.500, 0.000, 0.000)
Zn (0.000, 0.500, 0.000)
Zn (0.000, 0.000, 0.500)

Summary:
- energy of formation (eV per atom) = 0.73

***

No. 17
Zn4TcNi5 | PBE | relaxed

Cell: 2.654 2.654 17.319 Å, 90.00 90.00 90.00°
Atoms (fractional coordinates):
Ni (0.500, 0.500, 0.896)
Ni (0.500, 0.500, 0.104)
Ni (0.500, 0.500, 0.697)
Ni (0.500, 0.500, 0.303)
Zn (0.000, 0.000, 0.402)
Tc (0.000, 0.000, 0.000)
Zn (0.000, 0.000, 0.598)
Zn (0.000, 0.000, 0.205)
Ni (0.500, 0.500, 0.500)
Zn (0.000, 0.000, 0.795)

Summary:
- energy of formation (eV per atom) = -0.19

***

No. 18
ZnTc2Ni | PBE | relaxed

Cell: 4.827 4.827 2.627 Å, 90.00 90.00 117.74°
Atoms (fractional coordinates):
Zn (0.500, 0.000, 0.500)
Tc (0.500, 0.500, 0.000)
Tc (0.000, 0.000, 0.000)
Ni (0.000, 0.500, 0.500)

Summary:
- energy of formation (eV per atom) = 0.13

***

No. 19
ZnTc2Ni | PBE | relaxed

Cell: 4.224 2.612 4.983 Å, 81.49 90.00 90.00°
Atoms (fractional coordinates):
Ni (0.500, 0.587, 0.743)
Zn (0.000, 0.654, 0.510)
Tc (0.500, 0.235, 0.250)
Tc (0.000, 0.025, 0.997)

Summary:
- energy of formation (eV per atom) = 0.06

***

No. 20
ZnTc2Ni | PBE | relaxed

Cell: 8.866 8.866 8.866 Å, 17.45 17.45 17.45°
Atoms (fractional coordinates):
Zn (0.250, 0.250, 0.250)
Tc (0.004, 0.004, 0.004)
Tc (0.496, 0.496, 0.496)
Ni (0.750, 0.750, 0.750)

Summary:
- energy of formation (eV per atom) = 0.16

***

No. 21
Zn2TcNi3 | PBE | relaxed

Cell: 2.622 2.622 10.702 Å, 90.00 90.00 90.00°
Atoms (fractional coordinates):
Zn (0.500, 0.500, 0.838)
Tc (0.500, 0.500, 0.500)
Zn (0.500, 0.500, 0.162)
Ni (0.000, 0.000, 0.329)
Ni (0.000, 0.000, 0.000)
Ni (0.000, 0.000, 0.671)

Summary:
- energy of formation (eV per atom) = -0.17

***

No. 22
ZnTc2Ni2 | PBE | relaxed

Cell: 6.064 6.064 3.626 Å, 90.00 90.00 90.00°
Atoms (fractional coordinates):
Ni (0.636, 0.136, 0.000)
Ni (0.136, 0.364, 0.000)
Ni (0.364, 0.864, 0.000)
Zn (0.500, 0.500, 0.000)
Tc (0.657, 0.843, 0.500)
Tc (0.343, 0.157, 0.500)
Tc (0.843, 0.343, 0.500)
Zn (0.000, 0.000, 0.000)
Ni (0.864, 0.636, 0.000)
Tc (0.157, 0.657, 0.500)

Summary:
- energy of formation (eV per atom) = 0.25

***

No. 23
ZnTc2Ni | PBE | relaxed

Cell: 4.543 4.543 2.620 Å, 90.00 90.00 90.00°
Atoms (fractional coordinates):
Ni (0.000, 0.000, 0.500)
Tc (0.000, 0.500, 0.000)
Zn (0.500, 0.500, 0.500)
Tc (0.500, 0.000, 0.000)

Summary:
- energy of formation (eV per atom) = 0.26

***

No. 24
ZnTcNi6 | PBE | relaxed

Cell: 3.591 3.591 7.175 Å, 90.00 90.00 90.00°
Atoms (fractional coordinates):
Ni (0.000, 0.500, 0.253)
Ni (0.000, 0.500, 0.747)
Ni (0.500, 0.000, 0.747)
Zn (0.000, 0.000, 0.000)
Tc (0.000, 0.000, 0.500)
Ni (0.500, 0.000, 0.253)
Ni (0.500, 0.500, 0.500)
Ni (0.500, 0.500, 0.000)

Summary:
- energy of formation (eV per atom) = -0.06

***

No. 25
ZnTc2Ni | PBE | relaxed

Cell: 4.061 2.644 5.686 Å, 62.33 90.00 90.00°
Atoms (fractional coordinates):
Ni (0.500, 0.750, 0.750)
Zn (0.500, 0.250, 0.250)
Tc (0.000, 0.497, 0.505)
Tc (0.000, 0.003, 0.995)

Summary:
- energy of formation (eV per atom) = 0.12

***

No. 26
ZnTc2Ni | PBE | relaxed

Cell: 4.625 4.625 4.625 Å, 131.95 131.95 70.32°
Atoms (fractional coordinates):
Tc (0.250, 0.750, 0.500)
Ni (0.750, 0.250, 0.500)
Zn (0.500, 0.500, 0.000)
Tc (0.000, 0.000, 0.000)

Summary:
- energy of formation (eV per atom) = 0.04

***

| no. | total magnetic moment (Bohr magnetons per cell) | density of states at the Fermi level (states/eV/f.u.) |
| --- | --- | --- |
| 1 | 0.22 | 4.88 |
| 2 | 0.00 | 3.51 |
| 3 | 0.00 | 2.16 |
| 4 | 0.00 | 2.49 |
| 5 | 0.00 | 3.29 |
| 6 | 3.00 | 8.73 |
| 7 | 2.06 | 5.24 |
| 8 | 0.00 | 3.49 |
| 9 | 1.35 | 4.46 |
| 10 | 0.00 | 6.39 |
| 11 | 0.00 | 3.40 |
| 12 | 0.00 | 2.76 |
| 13 | 0.00 | 4.61 |
| 14 | 0.00 | 3.48 |
| 15 | 5.02 | 24.51 |
| 16 | 2.40 | 3.92 |
| 17 | 0.00 | 7.28 |
| 18 | 0.00 | 3.47 |
| 19 | 0.00 | 3.33 |
| 20 | 0.00 | 4.67 |
| 21 | 0.00 | 2.47 |
| 22 | 0.00 | 1.95 |
| 23 | 0.22 | 4.74 |
| 24 | 0.01 | 8.04 |
| 25 | 0.00 | 4.37 |
| 26 | 0.00 | 3.95 |